A plane-wave DFT calculation with PBE was carried out for crystalline Ce7Tl2Tc2 at its relaxed geometry.

Results
total moment	2.977	μB/cell
ΔE_f	0.004	eV/atom
V	28.4	Å³ per atom
symmetry	C2/m

```
Ce7Tl2Tc2
1.0
5.731 -3.999 0.000
5.731 3.999 0.000
-0.025 0.000 6.819
Ce Tl Tc
7 2 2
Direct
0.000 0.000 0.000
0.000 0.499 0.265
0.000 0.501 0.735
0.499 0.000 0.265
0.499 0.499 0.801
0.501 0.000 0.735
0.501 0.501 0.199
0.184 0.816 0.500
0.816 0.184 0.500
0.268 0.268 0.001
0.732 0.732 0.999
```

A plane-wave DFT calculation with PBE was carried out for crystalline CePIrRu at its relaxed geometry.

Results
total moment	0.156	μB/cell
ΔE_f	-0.573	eV/atom
V	19.4	Å³ per atom
symmetry	Amm2

```
CePIrRu
1.0
4.170 0.000 0.000
0.000 2.008 4.639
0.000 -2.008 4.639
Ce P Ir Ru
1 1 1 1
Direct
0.000 0.000 0.000
0.500 0.390 0.390
0.000 0.274 0.274
0.500 0.765 0.765
```

A plane-wave DFT calculation with PBE was carried out for crystalline ZrTe at its relaxed geometry.

Results
total moment	2.315	μB/cell
V	25.8	Å³ per atom
E_form (uncorrected)	0.16	eV per atom
symmetry	P6_3/mmc

```
ZrTe
1.0
5.300 0.000 0.000
-2.650 4.590 0.000
0.000 0.000 8.481
Zr Te
4 4
Direct
0.333 0.667 0.089
0.333 0.667 0.411
0.667 0.333 0.589
0.667 0.333 0.911
0.000 0.000 0.250
0.000 0.000 0.750
0.333 0.667 0.750
0.667 0.333 0.250
```

A plane-wave DFT calculation with PBE was carried out for crystalline Cs2Ga2Br5 at its relaxed geometry.

Results
total moment	0.000	μB/cell
V	41.1	Å³ per atom
E_form (uncorrected)	-1.11	eV per atom
symmetry	C2/m

```
Cs2Ga2Br5
1.0
8.002 -2.927 0.000
8.002 2.927 0.000
-2.959 0.000 7.889
Cs Ga Br
2 2 5
Direct
0.103 0.103 0.306
0.897 0.897 0.694
0.349 0.349 0.107
0.651 0.651 0.893
0.160 0.160 0.910
0.349 0.349 0.422
0.500 0.500 0.000
0.651 0.651 0.578
0.840 0.840 0.090
```

A plane-wave DFT calculation with PBE was carried out for crystalline TiNb2SnC at its relaxed geometry.

Results
total moment	0.000	μB/cell
ΔE_f	-0.301	eV/atom
V	16.2	Å³ per atom
symmetry	P4/mmm

```
TiNb2SnC
1.0
4.467 0.000 0.000
0.000 4.467 0.000
0.000 0.000 4.055
Ti Nb Sn C
1 2 1 1
Direct
0.000 0.000 0.000
0.000 0.500 0.500
0.500 0.000 0.500
0.500 0.500 0.000
0.000 0.000 0.500
```

A plane-wave DFT calculation with PBE was carried out for crystalline La2Pm6Ho3 at its relaxed geometry.

Results
relative energy among the computed polymorphs	0.000	eV per atom
total moment	0.009	μB/cell
ΔE_f	0.167	eV/atom
V	35.8	Å³ per atom
symmetry	C2/m

```
La2Pm6Ho3
1.0
3.109 -5.391 0.000
3.109 5.391 0.000
-2.105 0.000 11.733
La Pm Ho
2 6 3
Direct
0.167 0.833 0.000
0.833 0.167 0.000
0.082 0.415 0.745
0.251 0.251 0.255
0.415 0.082 0.745
0.585 0.918 0.255
0.749 0.749 0.745
0.918 0.585 0.255
0.000 0.000 0.500
0.335 0.665 0.500
0.665 0.335 0.500
```

A plane-wave DFT calculation with PBE was carried out for crystalline Ho3Tm2Mg8 at its relaxed geometry.

Results
total moment	0.001	μB/cell
ΔE_f	0.135	eV/atom
V	27.6	Å³ per atom
symmetry	R-3m

```
Ho3Tm2Mg8
1.0
2.908 1.679 12.251
-2.908 1.679 12.251
0.000 -3.358 12.251
Ho Tm Mg
3 2 8
Direct
0.000 0.000 0.000
0.183 0.183 0.183
0.817 0.817 0.817
0.360 0.360 0.360
0.640 0.640 0.640
0.230 0.731 0.731
0.269 0.269 0.770
0.269 0.770 0.269
0.275 0.275 0.275
0.725 0.725 0.725
0.731 0.230 0.731
0.731 0.731 0.230
0.770 0.269 0.269
```

A plane-wave DFT calculation with PBE was carried out for crystalline RbY2BTe at its relaxed geometry.

Results
total moment	0.000	μB/cell
V	30.5	Å³ per atom
E_form (uncorrected)	-0.03	eV per atom
symmetry	P4/mmm

```
RbY2BTe
1.0
5.070 0.000 0.000
0.000 5.070 0.000
0.000 0.000 5.925
Rb Y B Te
1 2 1 1
Direct
0.000 0.000 0.000
0.000 0.500 0.500
0.500 0.000 0.500
0.000 0.000 0.500
0.500 0.500 0.000
```

Please write out number 6 again, unchanged.
A plane-wave DFT calculation with PBE was carried out for crystalline La2Pm6Ho3 at its relaxed geometry.

Results
relative energy among the computed polymorphs	0.000	eV per atom
total moment	0.009	μB/cell
ΔE_f	0.167	eV/atom
V	35.8	Å³ per atom
symmetry	C2/m

```
La2Pm6Ho3
1.0
3.109 -5.391 0.000
3.109 5.391 0.000
-2.105 0.000 11.733
La Pm Ho
2 6 3
Direct
0.167 0.833 0.000
0.833 0.167 0.000
0.082 0.415 0.745
0.251 0.251 0.255
0.415 0.082 0.745
0.585 0.918 0.255
0.749 0.749 0.745
0.918 0.585 0.255
0.000 0.000 0.500
0.335 0.665 0.500
0.665 0.335 0.500
```

Which value of total moment does entry 6 give?
0.009 μB/cell

Among the records above, which one has the lowest V?
TiNb2SnC